Record 1
Here is a geometry-optimized TcAgBi2O structure from Alexandria. Energies are from PBE.

abc: 5.3738 5.2614 5.3738
angles: 90.00 90.00 90.00
Closest atoms and distances in Å follow each position.
Sites, in units of the cell vectors:
O 0.5000 0.5000 0.5000  8 Bi 3.76, 4 Tc 3.80
Bi 0.0000 0.0000 0.5000  2 Ag 2.69
Bi 0.5000 0.0000 0.0000  2 Ag 2.69
Ag 0.0000 0.0000 0.0000  2 Tc 2.63, 4 Bi 2.69
Tc 0.0000 0.5000 0.0000  2 Ag 2.63

Calculated values
* formation energy without anion corrections: 1.561 eV per atom
* crystal system: tetragonal
* density: 6.99 Mg/m³
* total energy: -18.1 eV per cell
* SG: P4/mmm (123)
* DOS at the Fermi energy: 4.64 states/eV/f.u.

---

Record 2
Here is a geometry-optimized TcAgBi2O6 structure from Alexandria. Energies are from PBE.

abc: 5.5798 6.1727 8.4042
angles: 90.00 88.97 90.00
Closest atoms and distances in Å follow each position.
Sites, in units of the cell vectors:
Tc 0.0000 0.5000 0.5000  6 O 1.96-2.04
Tc 0.5000 0.0000 0.0000  6 O 1.96-2.04
Ag 0.0000 0.5000 0.0000  2 O 2.34
Ag 0.5000 0.0000 0.5000  2 O 2.34
Bi 0.9915 0.9598 0.2214  6 O 2.30-2.48
Bi 0.5085 0.4598 0.2786  6 O 2.30-2.48
Bi 0.4915 0.5402 0.7214  6 O 2.30-2.48
Bi 0.0085 0.0402 0.7786  6 O 2.30-2.48
O 0.8690 0.3900 0.7064  1 Tc 1.99
O 0.8178 0.1600 0.0178  1 Tc 2.04
O 0.8409 0.2629 0.3890  1 Tc 1.96
O 0.6591 0.7629 0.1110  1 Tc 1.96
O 0.6822 0.6600 0.4822  1 Tc 2.04
O 0.6310 0.8900 0.7936  1 Tc 1.99
O 0.3690 0.1100 0.2064  1 Tc 1.99
O 0.3178 0.3400 0.5178  1 Tc 2.04
O 0.3409 0.2371 0.8890  1 Tc 1.96
O 0.1822 0.8400 0.9822  1 Tc 2.04
O 0.1591 0.7371 0.6110  1 Tc 1.96
O 0.1310 0.6100 0.2936  1 Tc 1.99

Calculated values
* formation energy without anion corrections: -1.077 eV per atom
* crystal system: monoclinic
* density: 8.26 Mg/m³
* total energy: -123.0 eV per cell
* SG: P2_1/c (14)
* DOS at the Fermi energy: 2.45 states/eV/f.u.

---

Record 3
Here is a geometry-optimized Ag2BiTeO6 structure from Alexandria. Energies are from PBE.

abc: 5.7949 5.7949 5.8447
angles: 60.25 60.27 60.00
Closest atoms and distances in Å follow each position.
Sites, in units of the cell vectors:
Ag 0.5653 0.5649 0.3051  3 O 2.27
Ag 0.0668 0.0672 0.7986  3 O 2.27
Bi 0.8162 0.8161 0.5515  6 O 2.33-2.34
Te 0.3162 0.3162 0.0515  6 O 1.97
O 0.5358 0.1989 0.2855  1 Te 1.97
O 0.1989 0.9797 0.2875  1 Te 1.97
O 0.9805 0.5346 0.2869  1 Te 1.97
O 0.4334 0.6526 0.8153  1 Te 1.97
O 0.6518 0.0979 0.8159  1 Te 1.97
O 0.0967 0.4334 0.8173  1 Te 1.97

Calculated values
* formation energy without anion corrections: -0.673 eV per atom
* crystal system: triclinic
* density: 7.73 Mg/m³
* total energy: -49.2 eV per cell
* SG: P-1 (2)
* DOS at the Fermi energy: 9.82 states/eV/f.u.

---

Record 4
Here is a geometry-optimized TiAgBiO4 structure from Alexandria. Energies are from PBE.

abc: 5.6948 5.6948 7.6027
angles: 90.00 90.00 102.48
Closest atoms and distances in Å follow each position.
Sites, in units of the cell vectors:
Ti 0.1463 0.8537 0.2500  4 O 1.83-1.86
Ti 0.8537 0.1463 0.7500  4 O 1.83-1.86
Ag 0.5000 0.5000 0.5000  2 O 2.20
Ag 0.5000 0.5000 0.0000  2 O 2.20
Bi 0.8121 0.1879 0.2500  4 O 2.20-2.33
Bi 0.1879 0.8121 0.7500  4 O 2.20-2.33
O 0.1867 0.1983 0.7500  1 Ti 1.86
O 0.8017 0.8133 0.7500  1 Ti 1.86
O 0.7446 0.2554 0.9543  1 Ti 1.83
O 0.7446 0.2554 0.5457  1 Ti 1.83
O 0.2554 0.7446 0.0457  1 Ti 1.83
O 0.2554 0.7446 0.4543  1 Ti 1.83
O 0.8133 0.8017 0.2500  1 Ti 1.86
O 0.1983 0.1867 0.2500  1 Ti 1.86

Calculated values
* formation energy without anion corrections: -1.621 eV per atom
* crystal system: orthorhombic
* density: 5.91 Mg/m³
* total energy: -91.6 eV per cell
* SG: Cmcm (63)
* DOS at the Fermi energy: 0.00 states/eV/f.u.